DFT (PBE with a Hubbard U) results for CrAgN2F after structural relaxation.

The calculation puts the calculated total energy at -4.62 eV per atom. Its relative energy among the computed polymorphs is 900 meV/atom. For the density of states at the Fermi level, the calculation gives 0.58 states/eV per atom. The calculation puts the spin magnetization at 1.95 Bohr magnetons per cell.

The space group is P4/mmm (No. 123) and the conventional cell measures 4.078, 4.078 and 4.300 Å, with angles of 90.00, 90.00 and 90.00 degrees. The distinct sites, in fractional coordinates, are Cr at (0.000, 0.000, 0.000), Ag at (0.500, 0.500, 0.500), N at (0.000, 0.500, 0.500) and F at (0.500, 0.500, 0.000).